1.
Computed, not measured: a relaxed KPt2Rh crystal at the PBE level of DFT.

Lattice parameters (Å, degrees): 2.8504 2.8504 9.1229 90.00 90.00 90.00
Closest atoms and distances in Å follow each position.
Sites, in units of the cell vectors:
K: 0.5000 0.5000 0.7509  4 K 2.85
Pt: 0.0000 0.0000 0.0429  8 Pt 2.80-2.85
Pt: 0.5000 0.5000 0.2553  4 Rh 2.69, 8 Pt 2.80-2.85
Rh: 0.0000 0.0000 0.4509  4 Pt 2.69, 4 Rh 2.85

- magnetization (μB/cell) = 0.0
- space-group type = No. 99
- E (eV/cell) = -19.4
- energy relative to the elements (eV per atom) = 0.272

2.
Computed, not measured: a relaxed KPt2Rh crystal at the PBE level of DFT.

Lattice parameters (Å, degrees): 3.6331 2.7757 8.3838 70.82 90.00 90.00
Closest atoms and distances in Å follow each position.
Sites, in units of the cell vectors:
K: 0.5000 0.7500 0.7500  2 K 2.78
Pt: 0.0000 0.9304 0.0682  4 Rh 2.70, 3 Pt 2.78-2.88
Pt: 0.0000 0.5696 0.4318  4 Rh 2.70, 3 Pt 2.78-2.88
Rh: 0.5000 0.2500 0.2500  8 Pt 2.70, 2 Rh 2.78

- magnetization (μB/cell) = 0.0
- space-group type = No. 10
- E (eV/cell) = -19.8
- energy relative to the elements (eV per atom) = 0.190

3.
Computed, not measured: a relaxed KPtRh4 crystal at the PBE level of DFT.

Lattice parameters (Å, degrees): 5.2559 5.2559 5.2559 60.00 60.00 60.00
Closest atoms and distances in Å follow each position.
Sites, in units of the cell vectors:
K: 0.7500 0.7500 0.7500  12 Rh 3.08, 4 Pt 3.22
Pt: 0.0000 0.0000 0.0000  12 Rh 3.08, 4 K 3.22
Rh: 0.8766 0.3745 0.3745  6 Rh 2.62-2.64
Rh: 0.3745 0.3745 0.8766  6 Rh 2.62-2.64
Rh: 0.3745 0.8766 0.3745  6 Rh 2.62-2.64
Rh: 0.3745 0.3745 0.3745  6 Rh 2.62-2.64

- magnetization (μB/cell) = 0.8
- space-group type = No. 216
- E (eV/cell) = -33.0
- energy relative to the elements (eV per atom) = 0.586

Q: What is the energy relative to the elements in the second record?
A: 0.190 eV per atom

Q: The lowest E belongs to which entry?
A: KPtRh4

Q: The highest E belongs to which entry?
A: number 1